# Hf3Pd6Au

An optimized crystal structure of Hf3Pd6Au (GGA-PBE, Alexandria).

POSCAR file:
```
Hf3Pd6Au
1.0
-1.905 -4.465 -0.854
8.132 -3.450 -0.098
-3.606 -0.005 8.065
Hf Pd Au
6 12 2
Cartesian
4.049 -5.215 5.372
0.747 -6.757 6.578
0.735 -1.827 4.809
2.424 -4.835 2.545
-2.197 -4.510 1.396
1.104 -2.967 0.189
3.329 -2.700 4.724
1.311 -4.620 5.039
0.273 -3.446 7.324
4.173 -7.103 3.522
6.934 -4.938 -0.062
-1.454 -3.813 5.191
4.524 -3.057 2.123
-4.754 -4.018 6.977
-1.949 -1.750 3.412
1.951 -5.406 -0.389
1.999 -1.685 2.383
-0.019 -3.604 2.697
-1.493 -1.261 6.320
4.585 -5.557 1.003
```

Properties
The volume is 354.89 Å³ per cell. For the magnetic moment, the calculation gives 0.00 μB/f.u. As for the crystal system: orthorhombic. For the density, the calculation gives 12.83 Mg/m³. The final energy is -6.9935 eV/atom.